[1]
The following is a PBE-GGA calculation of a relaxed structure of Al6C3N2, from Alexandria via LeMat-Bulk.

```
Al6C3N2
1.0
3.478 0.000 0.000
0.000 4.183 0.010
0.000 1.915 9.007
C Al N
3 6 2
direct
0.000 0.262 0.837
0.500 0.704 0.577
0.500 0.102 0.183
0.000 0.513 0.513
0.500 0.076 0.394
0.000 0.161 0.064
0.000 0.758 0.835
0.500 0.626 0.144
0.500 0.275 0.749
0.000 0.665 0.052
0.500 0.831 0.716
```

Polymorph energy (0 for the lowest one) = 348.8 meV/atom
Crystal system = monoclinic

[2]
The following is a PBE-GGA calculation of a relaxed structure of Cs4KTl3I8, from Alexandria via LeMat-Bulk.

```
Cs4KTl3I8
1.0
10.556 0.000 0.000
0.000 10.571 -0.007
-5.278 -5.281 7.474
I Tl Cs K
8 3 4 1
direct
0.758 0.275 0.017
0.259 0.275 0.017
0.242 0.725 0.983
0.242 0.725 0.484
0.742 0.725 0.483
0.258 0.275 0.517
0.758 0.275 0.516
0.741 0.725 0.983
0.500 0.500 0.500
0.000 0.500 0.500
0.500 0.500 0.000
0.500 0.000 0.500
0.500 0.000 0.000
0.000 0.000 0.500
0.000 0.000 0.000
0.000 0.500 0.000
```

Uncorrected energy = -2.702 eV/atom
Crystal system = monoclinic
DOS at the Fermi energy = 0.0 states/eV/cell

[3]
The following is a PBE-GGA calculation of a relaxed structure of Cs3KCo2Cl8, from Alexandria via LeMat-Bulk.

```
Cs3KCo2Cl8
1.0
-0.091 6.715 3.721
-0.124 -6.581 3.953
9.818 -0.019 0.276
Cs Cl K Co
3 8 1 2
direct
0.667 0.333 0.353
0.333 0.667 0.647
0.000 0.000 0.000
0.176 0.352 0.304
0.667 0.333 0.011
0.824 0.648 0.696
0.648 0.824 0.304
0.333 0.667 0.989
0.824 0.176 0.696
0.176 0.824 0.304
0.352 0.176 0.696
0.000 0.000 0.500
0.667 0.333 0.786
0.333 0.667 0.214
```

Uncorrected energy = -3.741 eV/atom
Crystal system = trigonal